# 1
Entry from the Alexandria database: crystalline Na4Ni2C4SO16 at its relaxed geometry (PBEsol).

Values from the calculation:
For the density, the calculation gives 2.9 g/cm³. For the energy relative to the elements, uncorrected, the calculation gives -3610 kJ/mol of formula units. The space group is Fddd (70).

Unit cell a=9.6381 b=9.6381 c=9.4609 alpha=119.28 beta=119.28 gamma=92.29
Last column: nearest neighbours and their distance in Å.
Element x y z (fractional)
Na: 0.2890 0.2890 0.0000  6 O 2.30-2.46
Na: 0.7061 0.2939 0.0000  6 O 2.33-2.43
Na: 0.9561 0.0439 0.5000  6 O 2.33-2.43
Na: 0.5390 0.0390 0.5000  6 O 2.30-2.46
Na: 0.7110 0.7110 0.0000  6 O 2.30-2.46
Na: 0.2939 0.7061 0.0000  6 O 2.33-2.43
Na: 0.5439 0.4561 0.5000  6 O 2.33-2.43
Na: 0.9610 0.4610 0.5000  6 O 2.30-2.46
Ni: 0.1250 0.3750 0.2500  6 O 1.90-2.10
Ni: 0.1250 0.8750 0.2500  6 O 1.90-2.10
Ni: 0.1250 0.8750 0.7500  6 O 1.90-2.10
Ni: 0.6250 0.8750 0.7500  6 O 1.90-2.10
C: 0.3320 0.0114 0.6709  3 O 1.28-1.30
C: 0.9111 0.0905 0.8291  3 O 1.28-1.30
C: 0.3405 0.6611 0.3291  3 O 1.28-1.30
C: 0.9886 0.6680 0.3291  3 O 1.28-1.30
C: 0.2614 0.0820 0.1709  3 O 1.28-1.30
C: 0.9095 0.0889 0.1709  3 O 1.28-1.30
C: 0.3389 0.6595 0.6709  3 O 1.28-1.30
C: 0.9180 0.7386 0.8291  3 O 1.28-1.30
S: 0.7500 0.2500 0.5000  4 O 1.49
S: 0.5000 0.5000 0.0000  4 O 1.49
O: 0.3108 0.0180 0.7997  1 C 1.30
O: 0.9405 0.3151 0.6256  1 S 1.49
O: 0.2075 0.0050 0.5225  1 C 1.29
O: 0.9350 0.2325 0.9775  1 C 1.29
O: 0.4825 0.6850 0.4775  1 C 1.29
O: 0.0269 0.0713 0.7989  1 C 1.28
O: 0.6895 0.3149 0.3744  1 S 1.49
O: 0.6851 0.3105 0.6256  1 S 1.49
O: 0.9287 0.9731 0.2011  1 C 1.28
O: 0.9950 0.7925 0.4775  1 C 1.29
O: 0.7611 0.9683 0.7003  1 C 1.30
O: 0.6849 0.0595 0.3744  1 S 1.49
O: 0.2183 0.5111 0.2003  1 C 1.30
O: 0.9820 0.6892 0.2003  1 C 1.30
O: 0.4781 0.0225 0.7011  1 C 1.28
O: 0.2725 0.2281 0.2011  1 C 1.28
O: 0.9775 0.5219 0.2989  1 C 1.28
O: 0.7719 0.7275 0.7989  1 C 1.28
O: 0.2680 0.0608 0.2997  1 C 1.30
O: 0.0317 0.2389 0.2997  1 C 1.30
O: 0.5651 0.6905 0.1256  1 S 1.49
O: 0.4889 0.7817 0.7997  1 C 1.30
O: 0.2550 0.9575 0.0225  1 C 1.29
O: 0.3213 0.7769 0.2989  1 C 1.28
O: 0.5649 0.4395 0.8744  1 S 1.49
O: 0.5605 0.4351 0.1256  1 S 1.49
O: 0.2231 0.6787 0.7011  1 C 1.28
O: 0.7675 0.0650 0.0225  1 C 1.29
O: 0.3150 0.5175 0.5225  1 C 1.29
O: 0.0425 0.7450 0.9775  1 C 1.29
O: 0.3095 0.4349 0.8744  1 S 1.49
O: 0.9392 0.7320 0.7003  1 C 1.30

---

# 2
Entry from the Alexandria database: crystalline Na2NiCSO7 at its relaxed geometry (PBEsol).

Values from the calculation:
For the density, the calculation gives 2.9 g/cm³. For the energy relative to the elements, uncorrected, the calculation gives -1717 kJ/mol of formula units. The space group is P2_1/m (11).

Unit cell a=5.1635 b=6.5309 c=8.8616 alpha=90.00 beta=91.51 gamma=90.00
Last column: nearest neighbours and their distance in Å.
Element x y z (fractional)
Na: 0.7324 0.0010 0.7760  5 O 2.23-2.45
Na: 0.7324 0.4990 0.7760  5 O 2.23-2.45
Na: 0.2676 0.5010 0.2240  5 O 2.23-2.45
Na: 0.2676 0.9990 0.2240  5 O 2.23-2.45
Ni: 0.2792 0.7500 0.6456  6 O 2.01-2.10
Ni: 0.7208 0.2500 0.3544  6 O 2.01-2.10
C: 0.2209 0.7500 0.9169  3 O 1.26-1.31
C: 0.7791 0.2500 0.0831  3 O 1.26-1.31
S: 0.2182 0.2500 0.5785  4 O 1.48-1.50
S: 0.7818 0.7500 0.4215  4 O 1.48-1.50
O: 0.8139 0.2500 0.9434  1 C 1.26
O: 0.1861 0.7500 0.0566  1 C 1.26
O: 0.4487 0.7500 0.8563  1 C 1.31
O: 0.5513 0.2500 0.1437  1 C 1.31
O: 0.0299 0.7500 0.8161  1 C 1.31
O: 0.9701 0.2500 0.1839  1 C 1.31
O: 0.6628 0.7500 0.5727  1 S 1.49
O: 0.3372 0.2500 0.4273  1 S 1.49
O: 0.9281 0.2500 0.5583  1 S 1.50
O: 0.0719 0.7500 0.4417  1 S 1.50
O: 0.3025 0.0671 0.6660  1 S 1.48
O: 0.3025 0.4329 0.6660  1 S 1.48
O: 0.6975 0.5671 0.3340  1 S 1.48
O: 0.6975 0.9329 0.3340  1 S 1.48

---

# 3
Entry from the Alexandria database: crystalline Na4C2O5 at its relaxed geometry (PBEsol).

Values from the calculation:
For the density, the calculation gives 2.4 g/cm³. For the energy relative to the elements, uncorrected, the calculation gives -1556 kJ/mol of formula units. The space group is Cm (8).

Unit cell a=5.0099 b=5.0099 c=6.0836 alpha=80.88 beta=80.88 gamma=63.81
Last column: nearest neighbours and their distance in Å.
Element x y z (fractional)
Na: 0.9948 0.9948 0.9909  5 O 2.24-2.36
Na: 0.6655 0.6655 0.2664  6 O 2.48-2.75
Na: 0.3312 0.3312 0.7350  5 O 2.46-2.60
Na: 0.9992 0.9992 0.4981  5 O 2.26-2.51
C: 0.6842 0.6842 0.7504  2 O 1.31
C: 0.3390 0.3390 0.2381  3 O 1.29-1.30
O: 0.8178 0.4015 0.7165  1 C 1.31
O: 0.4015 0.8178 0.7165  1 C 1.31
O: 0.6149 0.1914 0.2821  1 C 1.30
O: 0.1914 0.6149 0.2821  1 C 1.30
O: 0.2115 0.2115 0.1520  1 C 1.29

---

# 4
Entry from the Alexandria database: crystalline NaCO2 at its relaxed geometry (PBEsol).

Values from the calculation:
For the density, the calculation gives 2.4 g/cm³. For the energy relative to the elements, uncorrected, the calculation gives -590 kJ/mol of formula units. The space group is P2_1/c (14).

Unit cell a=3.4525 b=5.2591 c=10.4276 alpha=90.00 beta=92.61 gamma=90.00
Last column: nearest neighbours and their distance in Å.
Element x y z (fractional)
Na: 0.3016 0.5573 0.8555  6 O 2.33-2.52
Na: 0.6984 0.0573 0.6445  6 O 2.33-2.52
Na: 0.6984 0.4427 0.1445  6 O 2.33-2.52
Na: 0.3016 0.9427 0.3555  6 O 2.33-2.52
C: 0.1135 0.5434 0.5631  2 O 1.26-1.27
C: 0.8865 0.0434 0.9369  2 O 1.26-1.27
C: 0.8865 0.4566 0.4369  2 O 1.26-1.27
C: 0.1135 0.9566 0.0631  2 O 1.26-1.27
O: 0.1667 0.1199 0.1513  1 C 1.27
O: 0.8333 0.6199 0.3487  1 C 1.27
O: 0.8333 0.8801 0.8487  1 C 1.27
O: 0.1667 0.3801 0.6513  1 C 1.27
O: 0.2277 0.7281 0.0678  1 C 1.26
O: 0.7723 0.2281 0.4322  1 C 1.26
O: 0.7723 0.2719 0.9322  1 C 1.26
O: 0.2277 0.7719 0.5678  1 C 1.26

---

# 5
Entry from the Alexandria database: crystalline Na2CO3 at its relaxed geometry (PBEsol).

Values from the calculation:
For the density, the calculation gives 2.6 g/cm³. For the energy relative to the elements, uncorrected, the calculation gives -1004 kJ/mol of formula units. The space group is C2/m (12).

Unit cell a=5.1533 b=5.1533 c=6.0076 alpha=78.88 beta=78.88 gamma=61.76
Last column: nearest neighbours and their distance in Å.
Element x y z (fractional)
Na: 0.6692 0.6692 0.2575  7 O 2.54-2.71
Na: 0.3308 0.3308 0.7425  7 O 2.54-2.71
Na: 0.0000 0.0000 0.0000  6 O 2.32-2.34
Na: 0.0000 0.0000 0.5000  6 O 2.29-2.40
C: 0.3361 0.3361 0.2494  3 O 1.30
C: 0.6639 0.6639 0.7506  3 O 1.30
O: 0.2118 0.2118 0.1694  1 C 1.30
O: 0.3897 0.8131 0.7095  1 C 1.30
O: 0.1869 0.6103 0.2905  1 C 1.30
O: 0.8131 0.3897 0.7095  1 C 1.30
O: 0.6103 0.1869 0.2905  1 C 1.30
O: 0.7882 0.7882 0.8306  1 C 1.30

---

# 6
Entry from the Alexandria database: crystalline Na2CO3 at its relaxed geometry (PBEsol).

Values from the calculation:
For the density, the calculation gives 2.4 g/cm³. For the energy relative to the elements, uncorrected, the calculation gives -993 kJ/mol of formula units. The space group is P6_3/mmc (194).

Unit cell a=5.2272 b=5.2272 c=6.2061 alpha=90.00 beta=90.00 gamma=120.00
Last column: nearest neighbours and their distance in Å.
Element x y z (fractional)
Na: 0.3333 0.6667 0.2500  6 O 2.62
Na: 0.6667 0.3333 0.7500  6 O 2.62
Na: 0.0000 0.0000 0.0000  6 O 2.32
Na: 0.0000 0.0000 0.5000  6 O 2.32
C: 0.6667 0.3333 0.2500  3 O 1.29
C: 0.3333 0.6667 0.7500  3 O 1.29
O: 0.3806 0.1903 0.2500  1 C 1.29
O: 0.6194 0.8097 0.7500  1 C 1.29
O: 0.1903 0.8097 0.7500  1 C 1.29
O: 0.8097 0.6194 0.2500  1 C 1.29
O: 0.8097 0.1903 0.2500  1 C 1.29
O: 0.1903 0.3806 0.7500  1 C 1.29

---

Q: energy relative to the elements, uncorrected of number 1 (Na4Ni2C4SO16)?
A: -3610 kJ/mol of formula units

---

Q: Look up the energy relative to the elements, uncorrected of the sixth one.
A: -993 kJ/mol of formula units